1.
An optimized crystal structure of Li2Mg4H, computed with PBE.

Unit cell a=4.2416 b=4.2416 c=8.1839 alpha=74.98 beta=74.98 gamma=90.00
Fractional positions:
H 0.0000 0.0000 0.0000
Mg 0.8410 0.8410 0.3180
Mg 0.1590 0.1590 0.6820
Mg 0.0000 0.5000 0.0000
Mg 0.5000 0.0000 0.0000
Li 0.6459 0.6459 0.7083
Li 0.3541 0.3541 0.2917

## Properties
Density of states at the Fermi level: 2.53 states/eV/f.u.
Electronic total energy: -1.8465 eV/atom
Volume: 137.0 Å³ per cell

2.
An optimized crystal structure of PuNpGePt, computed with PBE.

Unit cell a=4.9912 b=4.9912 c=4.9912 alpha=60.00 beta=60.00 gamma=60.00
Each line ends with the local moment (μB).
Fractional positions:
Np 0.0000 0.0000 0.0000  3.79
Ge 0.2500 0.2500 0.2500  -0.17
Pt 0.7500 0.7500 0.7500  -0.17
Pu 0.5000 0.5000 0.5000  5.20

## Properties
Density of states at the Fermi level: 12.49 states/eV/f.u.
Electronic total energy: -9.8299 eV/atom
Volume: 87.9 Å³ per cell

3.
An optimized crystal structure of NiOsPd, computed with PBE.

Unit cell a=2.7086 b=2.7086 c=5.8757 alpha=103.33 beta=103.33 gamma=90.00
Fractional positions:
Ni 0.3255 0.3255 0.6511
Os 0.6767 0.6767 0.3534
Pd 0.9978 0.9978 0.9955

## Properties
Density of states at the Fermi level: 4.75 states/eV/f.u.
Offset from the most stable computed form: 0.035 eV/atom
Electronic total energy: -7.2060 eV/atom
Volume: 40.8 Å³ per cell

4.
An optimized crystal structure of Li2SiSe, computed with PBE.

Unit cell a=3.6619 b=3.6635 c=5.1368 alpha=90.00 beta=90.00 gamma=90.00
Fractional positions:
Li 0.0000 0.0000 0.9956
Li 0.5000 0.5000 0.2557
Se 0.0000 0.0000 0.5123
Si 0.5000 0.5000 0.7364

## Properties
Density of states at the Fermi level: 1.84 states/eV/f.u.
Offset from the most stable computed form: 0.280 eV/atom
Electronic total energy: -3.3791 eV/atom
Volume: 68.9 Å³ per cell
ΔE_f (raw): -195 meV per atom

5.
An optimized crystal structure of AcPm4Nd, computed with PBE.

Unit cell a=6.7876 b=6.7876 c=6.7876 alpha=60.00 beta=60.00 gamma=60.00
Fractional positions:
Ac 0.2500 0.2500 0.2500
Nd 0.0000 0.0000 0.0000
Pm 0.6259 0.6259 0.1222
Pm 0.6259 0.1222 0.6259
Pm 0.6259 0.6259 0.6259
Pm 0.1222 0.6259 0.6259

## Properties
Density of states at the Fermi level: 11.64 states/eV/f.u.
Offset from the most stable computed form: 0.204 eV/atom
Electronic total energy: -4.4147 eV/atom
Volume: 221.1 Å³ per cell

6.
An optimized crystal structure of Tb4Pr15Cd, computed with PBE.

Unit cell a=5.1527 b=5.1527 c=25.9882 alpha=90.00 beta=90.00 gamma=90.00
Fractional positions:
Tb 0.0000 0.0000 0.1971
Tb 0.0000 0.0000 0.3992
Tb 0.0000 0.0000 0.6008
Tb 0.0000 0.0000 0.8029
Pr 0.5000 0.5000 0.0000
Pr 0.5000 0.5000 0.1965
Pr 0.5000 0.5000 0.3987
Pr 0.5000 0.5000 0.6013
Pr 0.5000 0.5000 0.8035
Pr 0.5000 0.0000 0.0969
Pr 0.5000 0.0000 0.2982
Pr 0.5000 0.0000 0.5000
Pr 0.5000 0.0000 0.7018
Pr 0.5000 0.0000 0.9031
Pr 0.0000 0.5000 0.0969
Pr 0.0000 0.5000 0.2982
Pr 0.0000 0.5000 0.5000
Pr 0.0000 0.5000 0.7018
Pr 0.0000 0.5000 0.9031
Cd 0.0000 0.0000 0.0000

## Properties
Density of states at the Fermi level: 28.41 states/eV/f.u.
Electronic total energy: -4.5657 eV/atom
Volume: 690.0 Å³ per cell